(1)
! FeCo5H7 PBE optimized geometry; values from VASP
! Crystal system   monoclinic
! Size of the total moment   15.095 Bohr magnetons per cell
! Symmetry   C2/m, No. 12
! Uncorrected energy   -5.155 eV/atom
&SYSTEM
  ibrav = 0, nat = 26, ntyp = 3
/
ATOMIC_SPECIES
Fe 55.84 Fe.upf
Co 58.93 Co.upf
H 1.01 H.upf
CELL_PARAMETERS angstrom
4.336 -1.306 0.000
4.336 1.306 0.000
-0.011 0.000 14.258
ATOMIC_POSITIONS angstrom
Fe 1.646 0.000 3.563
Fe 7.014 0.000 10.695
Co 0.000 0.000 0.000
Co -0.006 0.000 7.129
Co 2.367 0.000 8.279
Co 2.362 0.000 13.108
Co 3.936 0.000 4.953
Co 3.942 0.000 2.176
Co 4.718 0.000 12.082
Co 4.724 0.000 9.305
Co 6.298 0.000 1.150
Co 6.293 0.000 5.979
H 0.762 0.000 5.474
H 0.769 0.000 1.655
H 1.468 0.000 11.658
H 1.475 0.000 9.731
H 3.130 0.000 0.546
H 3.124 0.000 6.582
H 3.863 0.000 10.692
H 4.797 0.000 3.565
H 5.536 0.000 7.676
H 5.530 0.000 13.712
H 7.185 0.000 4.527
H 7.192 0.000 2.600
H 7.891 0.000 12.602
H 7.898 0.000 8.784

=====

(2)
! Tb4Sm2DyY2 PBE optimized geometry; values from VASP
! Crystal system   monoclinic
! Size of the total moment   0.000 Bohr magnetons per cell
! Symmetry   C2/m, No. 12
! Energy relative to the elements   -2 meV per atom
! Uncorrected energy   -5.056 eV/atom
&SYSTEM
  ibrav = 0, nat = 9, ntyp = 4
/
ATOMIC_SPECIES
Tb 158.93 Tb.upf
Sm 150.36 Sm.upf
Dy 162.50 Dy.upf
Y 88.91 Y.upf
CELL_PARAMETERS angstrom
9.366 -1.804 0.000
9.366 1.804 0.000
-4.164 0.000 8.640
ATOMIC_POSITIONS angstrom
Tb -1.036 0.000 2.881
Tb 3.126 0.000 5.748
Tb 11.442 0.000 2.892
Tb 15.603 0.000 5.759
Sm 3.108 0.000 0.005
Sm 11.459 0.000 8.635
Dy 9.366 0.000 0.000
Y 5.213 0.000 2.897
Y 9.355 0.000 5.742

=====

(3)
! CaH4I3N PBE optimized geometry; values from VASP
! Crystal system   monoclinic
! Size of the total moment   0.000 Bohr magnetons per cell
! Symmetry   P2_1, No. 4
! Uncorrected energy   -4.012 eV/atom
&SYSTEM
  ibrav = 0, nat = 36, ntyp = 4
/
ATOMIC_SPECIES
Ca 40.08 Ca.upf
H 1.01 H.upf
I 126.90 I.upf
N 14.01 N.upf
CELL_PARAMETERS angstrom
8.497 0.000 0.000
0.000 7.839 0.000
-0.004 0.000 14.716
ATOMIC_POSITIONS angstrom
Ca 0.001 0.000 0.000
Ca 8.493 3.919 14.716
Ca 4.246 0.050 7.358
Ca 4.247 3.969 7.359
H 0.007 3.791 9.806
H 0.444 1.235 4.016
H 0.538 1.251 5.722
H 0.982 5.173 9.765
H 3.260 1.222 12.326
H 3.709 5.144 1.618
H 3.804 5.160 3.324
H 4.239 3.774 2.458
H 4.254 7.694 12.258
H 4.690 1.241 11.392
H 4.785 1.225 13.098
H 5.234 5.141 2.390
H 7.511 1.253 4.952
H 7.955 5.170 8.994
H 8.049 5.154 10.700
H 8.487 7.711 4.911
I 0.800 1.963 12.374
I 1.632 1.964 1.863
I 1.813 2.013 7.819
I 2.425 5.882 14.236
I 2.634 5.931 5.480
I 3.432 5.932 9.697
I 5.061 2.013 5.020
I 5.860 2.012 9.236
I 6.069 1.963 0.480
I 6.681 5.932 6.898
I 6.862 5.883 12.853
I 7.694 5.883 2.343
N 8.494 0.903 4.900
N 0.000 4.822 9.816
N 4.247 0.885 12.269
N 4.246 4.805 2.447

=====

(4)
! PuAlPt PBE optimized geometry; values from VASP
! Crystal system   hexagonal
! Size of the total moment   5.485 Bohr magnetons per cell
! Symmetry   P-6m2, No. 187
! Energy relative to the elements   -700 meV per atom
! Uncorrected energy   -8.739 eV/atom
&SYSTEM
  ibrav = 0, nat = 3, ntyp = 3
/
ATOMIC_SPECIES
Pu 244.00 Pu.upf
Al 26.98 Al.upf
Pt 195.08 Pt.upf
CELL_PARAMETERS angstrom
4.405 0.000 0.000
-2.203 3.815 0.000
0.000 0.000 3.720
ATOMIC_POSITIONS angstrom
Pu 0.000 0.000 0.000
Al 0.000 2.543 1.860
Pt 2.203 1.272 1.860

=====

(5)
! MnCoMo PBE optimized geometry; values from VASP
! Crystal system   orthorhombic
! Size of the total moment   3.687 Bohr magnetons per cell
! E above lowest polymorph   0.1171 eV/atom
! Symmetry   Imm2, No. 44
! Energy relative to the elements   111 meV per atom
! Uncorrected energy   -8.924 eV/atom
&SYSTEM
  ibrav = 0, nat = 3, ntyp = 3
/
ATOMIC_SPECIES
Mn 54.94 Mn.upf
Co 58.93 Co.upf
Mo 95.94 Mo.upf
CELL_PARAMETERS angstrom
-1.492 1.503 4.358
1.492 -1.503 4.358
1.492 1.503 -4.358
ATOMIC_POSITIONS angstrom
Mn 0.000 0.000 0.000
Co 0.000 0.000 3.007
Mo 0.000 0.000 5.864

=====

(6)
! NaPm2PaBi4 PBE optimized geometry; values from VASP
! Crystal system   monoclinic
! Size of the total moment   0.070 Bohr magnetons per cell
! Symmetry   P2/m, No. 10
! Energy relative to the elements   -513 meV per atom
! Uncorrected energy   -4.993 eV/atom
&SYSTEM
  ibrav = 0, nat = 8, ntyp = 4
/
ATOMIC_SPECIES
Na 22.99 Na.upf
Pm 145.00 Pm.upf
Pa 231.04 Pa.upf
Bi 208.98 Bi.upf
CELL_PARAMETERS angstrom
7.825 0.000 0.000
0.000 4.561 0.000
-2.536 0.000 7.478
ATOMIC_POSITIONS angstrom
Na 0.000 0.000 0.000
Pm -1.268 2.280 3.739
Pm 2.645 0.000 3.739
Pa 3.912 2.280 0.000
Bi 0.083 0.000 5.680
Bi 1.409 2.280 1.828
Bi 3.880 2.280 5.650
Bi 5.206 0.000 1.798

=====

(7)
! TiSiPd PBE optimized geometry; values from VASP
! Crystal system   hexagonal
! Size of the total moment   0.000 Bohr magnetons per cell
! Symmetry   P-6m2, No. 187
! E_form (uncorrected)   -736.5 meV per atom
! Uncorrected energy   -6.907 eV/atom
&SYSTEM
  ibrav = 0, nat = 3, ntyp = 3
/
ATOMIC_SPECIES
Ti 47.87 Ti.upf
Si 28.09 Si.upf
Pd 106.42 Pd.upf
CELL_PARAMETERS angstrom
4.201 0.000 0.000
-2.101 3.639 0.000
0.000 0.000 2.929
ATOMIC_POSITIONS angstrom
Ti 0.000 0.000 0.000
Si 2.101 1.213 1.465
Pd 0.000 2.426 1.465

=====

(8)
! KZn2Te PBE optimized geometry; values from VASP
! Crystal system   trigonal
! Size of the total moment   0.000 Bohr magnetons per cell
! Symmetry   R-3m, No. 166
! E_form (uncorrected)   -59.7 meV per atom
! Uncorrected energy   -1.756 eV/atom
&SYSTEM
  ibrav = 0, nat = 4, ntyp = 3
/
ATOMIC_SPECIES
K 39.10 K.upf
Zn 65.41 Zn.upf
Te 127.60 Te.upf
CELL_PARAMETERS angstrom
2.291 1.323 6.988
-2.291 1.323 6.988
0.000 -2.645 6.988
ATOMIC_POSITIONS angstrom
K 0.000 0.000 0.000
Zn 0.000 0.000 4.779
Zn 0.000 0.000 16.185
Te 0.000 0.000 10.482

=====

(9)
! CsCr PBE optimized geometry; values from VASP
! Crystal system   cubic
! Size of the total moment   29.999 Bohr magnetons per cell
! E above lowest polymorph   0.6026 eV/atom
! Symmetry   Pm-3n, No. 223
! Energy relative to the elements   1569 meV per atom
! Uncorrected energy   -3.670 eV/atom
&SYSTEM
  ibrav = 0, nat = 12, ntyp = 2
/
ATOMIC_SPECIES
Cs 132.91 Cs.upf
Cr 52.00 Cr.upf
CELL_PARAMETERS angstrom
10.441 0.000 0.000
0.000 10.441 0.000
0.000 0.000 10.441
ATOMIC_POSITIONS angstrom
Cs 0.000 2.610 5.220
Cs 0.000 7.830 5.220
Cs 2.610 5.220 0.000
Cs 5.220 0.000 2.610
Cs 5.220 0.000 7.830
Cs 7.830 5.220 0.000
Cr 0.000 5.220 2.610
Cr 0.000 5.220 7.830
Cr 2.610 0.000 5.220
Cr 5.220 2.610 0.000
Cr 5.220 7.830 0.000
Cr 7.830 0.000 5.220

=====

(10)
! RbHg3Pt PBE optimized geometry; values from VASP
! Crystal system   cubic
! Size of the total moment   0.000 Bohr magnetons per cell
! E above lowest polymorph   0.0000 eV/atom
! Symmetry   Pm-3m, No. 221
! Energy relative to the elements   -282 meV per atom
! Uncorrected energy   -1.865 eV/atom
&SYSTEM
  ibrav = 0, nat = 5, ntyp = 3
/
ATOMIC_SPECIES
Rb 85.47 Rb.upf
Hg 200.59 Hg.upf
Pt 195.08 Pt.upf
CELL_PARAMETERS angstrom
5.405 0.000 0.000
0.000 5.405 0.000
0.000 0.000 5.405
ATOMIC_POSITIONS angstrom
Rb 0.000 0.000 0.000
Hg 0.000 2.702 2.702
Hg 2.702 0.000 2.702
Hg 2.702 2.702 0.000
Pt 2.702 2.702 2.702

=====

(11)
! Fe2Sn2Au PBE optimized geometry; values from VASP
! Crystal system   tetragonal
! Size of the total moment   9.760 Bohr magnetons per cell
! E above lowest polymorph   0.1107 eV/atom
! Symmetry   P4/mbm, No. 127
! Energy relative to the elements   254 meV per atom
! Uncorrected energy   -5.388 eV/atom
&SYSTEM
  ibrav = 0, nat = 10, ntyp = 3
/
ATOMIC_SPECIES
Fe 55.84 Fe.upf
Sn 118.71 Sn.upf
Au 196.97 Au.upf
CELL_PARAMETERS angstrom
7.795 0.000 0.000
0.000 7.795 0.000
0.000 0.000 3.006
ATOMIC_POSITIONS angstrom
Fe 0.848 3.050 0.000
Fe 3.050 6.948 0.000
Fe 4.745 0.848 0.000
Fe 6.948 4.745 0.000
Sn 1.411 5.309 1.503
Sn 2.486 1.411 1.503
Sn 5.309 6.384 1.503
Sn 6.384 2.486 1.503
Au 0.000 0.000 1.503
Au 3.898 3.898 1.503

=====

(12)
! LiCrPb2 PBE optimized geometry; values from VASP
! Crystal system   monoclinic
! Size of the total moment   3.839 Bohr magnetons per cell
! Symmetry   Cm, No. 8
! Energy relative to the elements   221 meV per atom
! Uncorrected energy   -4.518 eV/atom
&SYSTEM
  ibrav = 0, nat = 4, ntyp = 3
/
ATOMIC_SPECIES
Li 6.94 Li.upf
Cr 52.00 Cr.upf
Pb 207.20 Pb.upf
CELL_PARAMETERS angstrom
5.388 -1.744 0.000
5.388 1.744 0.000
-0.269 0.000 4.816
ATOMIC_POSITIONS angstrom
Li 0.000 0.000 0.000
Cr 1.791 0.000 2.501
Pb 4.759 0.000 2.396
Pb 7.816 0.000 0.109

=====

(13)
! MgScS2 PBE optimized geometry; values from VASP
! Crystal system   trigonal
! Size of the total moment   0.000 Bohr magnetons per cell
! Symmetry   R-3m, No. 166
! E_form (uncorrected)   -1574.9 meV per atom
! Uncorrected energy   -5.620 eV/atom
&SYSTEM
  ibrav = 0, nat = 4, ntyp = 3
/
ATOMIC_SPECIES
Mg 24.30 Mg.upf
Sc 44.96 Sc.upf
S 32.06 S.upf
CELL_PARAMETERS angstrom
1.822 1.052 6.211
-1.822 1.052 6.211
0.000 -2.104 6.211
ATOMIC_POSITIONS angstrom
Mg 0.000 0.000 0.000
Sc 0.000 0.000 9.316
S 0.000 0.000 4.699
S 0.000 0.000 13.932

=====

(14)
! Mg2TeS PBE optimized geometry; values from VASP
! Crystal system   tetragonal
! Size of the total moment   0.000 Bohr magnetons per cell
! E above lowest polymorph   0.0000 eV/atom
! Symmetry   I-42d, No. 122
! E_form (uncorrected)   -1121.0 meV per atom
! Uncorrected energy   -3.736 eV/atom
&SYSTEM
  ibrav = 0, nat = 8, ntyp = 3
/
ATOMIC_SPECIES
Mg 24.30 Mg.upf
Te 127.60 Te.upf
S 32.06 S.upf
CELL_PARAMETERS angstrom
-3.057 3.057 6.037
3.057 -3.057 6.037
3.057 3.057 -6.037
ATOMIC_POSITIONS angstrom
Mg 4.585 1.260 -1.509
Mg 1.260 1.528 1.509
Mg -1.528 1.796 4.528
Mg 1.796 1.528 7.546
Te 3.057 0.000 3.018
Te 0.000 0.000 6.037
S 0.000 0.000 0.000
S 0.000 3.057 3.018

=====

(15)
! Cd2SiTc PBE optimized geometry; values from VASP
! Crystal system   monoclinic
! Size of the total moment   0.253 Bohr magnetons per cell
! Symmetry   C2/m, No. 12
! E_form (uncorrected)   445.7 meV per atom
! Uncorrected energy   -3.959 eV/atom
&SYSTEM
  ibrav = 0, nat = 4, ntyp = 3
/
ATOMIC_SPECIES
Cd 112.41 Cd.upf
Si 28.09 Si.upf
Tc 98.00 Tc.upf
CELL_PARAMETERS angstrom
2.645 -4.834 0.000
2.645 4.834 0.000
-0.853 0.000 2.755
ATOMIC_POSITIONS angstrom
Cd 1.323 2.417 0.000
Cd 1.323 -2.417 0.000
Si -0.427 0.000 1.377
Tc 2.219 0.000 1.377

=====

(16)
! K2LiY PBE optimized geometry; values from VASP
! Crystal system   monoclinic
! Size of the total moment   0.412 Bohr magnetons per cell
! Symmetry   Cm, No. 8
! Energy relative to the elements   433 meV per atom
! Uncorrected energy   -2.210 eV/atom
&SYSTEM
  ibrav = 0, nat = 4, ntyp = 3
/
ATOMIC_SPECIES
K 39.10 K.upf
Li 6.94 Li.upf
Y 88.91 Y.upf
CELL_PARAMETERS angstrom
6.327 -1.806 0.000
6.327 1.806 0.000
-0.891 0.000 7.660
ATOMIC_POSITIONS angstrom
K 0.000 0.000 0.000
K 2.337 0.000 5.573
Li 5.766 0.000 3.290
Y 9.385 0.000 2.048

=====

(17)
! TlTeRu2 PBE optimized geometry; values from VASP
! Crystal system   tetragonal
! Size of the total moment   0.000 Bohr magnetons per cell
! E above lowest polymorph   0.5201 eV/atom
! Symmetry   I-42d, No. 122
! E_form (uncorrected)   894.1 meV per atom
! Uncorrected energy   -5.121 eV/atom
&SYSTEM
  ibrav = 0, nat = 8, ntyp = 3
/
ATOMIC_SPECIES
Tl 204.38 Tl.upf
Te 127.60 Te.upf
Ru 101.07 Ru.upf
CELL_PARAMETERS angstrom
-3.105 3.105 5.516
3.105 -3.105 5.516
3.105 3.105 -5.516
ATOMIC_POSITIONS angstrom
Tl 0.000 0.000 0.000
Tl 0.000 3.105 2.758
Te 3.105 0.000 2.758
Te 0.000 0.000 5.516
Ru 1.552 -1.399 4.137
Ru 1.706 1.552 1.379
Ru 1.552 4.504 -1.379
Ru 1.399 1.552 6.895

=====

(18)
! AcH7Rh2Au PBE optimized geometry; values from VASP
! Crystal system   tetragonal
! Size of the total moment   0.000 Bohr magnetons per cell
! Symmetry   I-4m2, No. 119
! Uncorrected energy   -4.341 eV/atom
&SYSTEM
  ibrav = 0, nat = 11, ntyp = 4
/
ATOMIC_SPECIES
Ac 227.00 Ac.upf
H 1.01 H.upf
Rh 102.91 Rh.upf
Au 196.97 Au.upf
CELL_PARAMETERS angstrom
-1.949 1.949 7.699
1.949 -1.949 7.699
1.949 1.949 -7.699
ATOMIC_POSITIONS angstrom
Ac 0.000 0.000 0.000
H 1.949 0.000 1.782
H 0.000 0.000 4.213
H 1.949 0.000 5.917
H 0.000 0.000 7.699
H 0.000 1.949 1.874
H 0.000 0.000 11.185
H 0.000 1.949 5.825
Rh 0.000 0.000 5.948
Rh 0.000 0.000 9.450
Au 0.000 1.949 3.850

=====

(19)
! AgOs2Pt PBE optimized geometry; values from VASP
! Crystal system   orthorhombic
! Size of the total moment   0.001 Bohr magnetons per cell
! Symmetry   Cmmm, No. 65
! Energy relative to the elements   625 meV per atom
! Uncorrected energy   -7.212 eV/atom
&SYSTEM
  ibrav = 0, nat = 4, ntyp = 3
/
ATOMIC_SPECIES
Ag 107.87 Ag.upf
Os 190.23 Os.upf
Pt 195.08 Pt.upf
CELL_PARAMETERS angstrom
1.367 -2.353 0.000
1.367 2.353 0.000
0.000 0.000 9.759
ATOMIC_POSITIONS angstrom
Ag 0.000 0.000 0.000
Os 1.367 0.000 2.511
Os 1.367 0.000 7.248
Pt 0.000 0.000 4.879